DFT (GGA-PBE) results for crystalline BaDyMg2Tl4 at its relaxed geometry.

Summary:
N(E_F) = 0.5549 states/eV per atom
Space-group type = R-3m, No. 166
Calculated formation energy = -202 kJ/mol of formula units
Total DFT energy (no corrections) = -21.27 eV for the cell shown
Size of the total moment = 0.0 Bohr magnetons per cell

```
BaDyMg2Tl4
1.0
-4.779 -0.878 1.210
-1.890 -4.614 -0.452
0.818 -4.092 10.623
Ba Dy Mg Tl
1 1 2 4
direct
0.000 0.000 0.000
0.500 0.500 0.500
0.765 0.765 0.704
0.235 0.235 0.296
0.397 0.397 0.808
0.875 0.875 0.374
0.125 0.125 0.626
0.603 0.603 0.192
```